# La8Co3PtBr4, optimized geometry, DFT PBE
# uncorrected formation energy: -0.96 eV per atom
# space group: C2/m
data_La8Co3PtBr4
_chemical_formula_sum 'La8 Co3 Pt1 Br4'
_cell_length_a 8.293
_cell_length_b 8.293
_cell_length_c 9.208
_cell_angle_alpha 116.63
_cell_angle_beta 116.63
_cell_angle_gamma 59.34
_space_group_name_H-M_alt 'P 1'
_space_group_IT_number 1
loop_
_space_group_symop_operation_xyz
'x,y,z'
loop_
_atom_site_label
_atom_site_type_symbol
_atom_site_fract_x
_atom_site_fract_y
_atom_site_fract_z
La1 La 0.219 0.741 0.694
La2 La 0.234 0.234 0.693
La3 La 0.259 0.781 0.306
La4 La 0.262 0.262 0.308
La5 La 0.738 0.738 0.692
La6 La 0.741 0.219 0.694
La7 La 0.766 0.766 0.307
La8 La 0.781 0.259 0.306
Co1 Co 0.000 0.000 0.500
Co2 Co 0.000 0.500 0.500
Co3 Co 0.500 0.000 0.500
Pt1 Pt 0.500 0.500 0.500
Br1 Br 0.000 0.000 0.000
Br2 Br 0.000 0.500 0.000
Br3 Br 0.500 0.000 0.000
Br4 Br 0.500 0.500 0.000